(1)
# ZnAsSe4

Crystalline ZnAsSe4 at its relaxed geometry (PBE, Alexandria).

Lattice parameters (Å, degrees): 5.6719 5.6719 5.6719 60.00 60.00 60.00
Positions (direct):
Zn: 0.0000 0.0000 0.0000
As: 0.7500 0.7500 0.7500
Se: 0.3744 0.3744 0.3744
Se: 0.3744 0.3744 0.8769
Se: 0.3744 0.8769 0.3744
Se: 0.8769 0.3744 0.3744

Values from the calculation:
SG = F-43m, No. 216
Energy relative to the elements, uncorrected = 696.5 meV/atom

***

(2)
# Ba2Zn3PdPt4

Crystalline Ba2Zn3PdPt4 at its relaxed geometry (PBE, Alexandria).

Lattice parameters (Å, degrees): 4.3465 4.3465 11.1948 90.00 90.00 90.00
Positions (direct):
Ba: 0.0000 0.5000 0.2484
Ba: 0.5000 0.0000 0.7516
Zn: 0.0000 0.0000 0.0000
Zn: 0.0000 0.5000 0.6255
Zn: 0.5000 0.0000 0.3745
Pd: 0.5000 0.5000 0.0000
Pt: 0.0000 0.0000 0.5000
Pt: 0.0000 0.5000 0.8542
Pt: 0.5000 0.0000 0.1458
Pt: 0.5000 0.5000 0.5000

Values from the calculation:
SG = P-4m2, No. 115
DFT formation energy = -549 meV per atom

***

(3)
# CrOs4Ru3

Crystalline CrOs4Ru3 at its relaxed geometry (PBE, Alexandria).

Lattice parameters (Å, degrees): 4.6832 5.4052 4.6852 90.00 109.63 90.00
Positions (direct):
Cr: 0.0000 0.0000 0.0000
Os: 0.5000 0.0000 0.5000
Os: 0.5000 0.2462 0.0000
Os: 0.5000 0.5000 0.5000
Os: 0.5000 0.7538 0.0000
Ru: 0.0000 0.2475 0.5000
Ru: 0.0000 0.5000 0.0000
Ru: 0.0000 0.7525 0.5000

Values from the calculation:
SG = P2/m, No. 10
DFT formation energy = 101 meV per atom

***

What is the formula in the first record? ZnAsSe4